[1]
A plane-wave DFT calculation with PBE was carried out for Be2SeI after structural relaxation.

POSCAR file:
```
Be2SeI
1.0
0.000 3.306 3.306
3.306 0.000 3.306
3.306 3.306 0.000
I Be Se
1 2 1
direct
0.500 0.500 0.500 I
0.250 0.250 0.250 Be
0.750 0.750 0.750 Be
0.000 0.000 0.000 Se
```

energy above the lowest structure with this stoichiometry: 813 meV per atom
raw formation energy: 0.84 eV/atom
SG: No. 225


[2]
A plane-wave DFT calculation with PBE was carried out for SrVS2 after structural relaxation.

POSCAR file:
```
SrVS2
1.0
2.630 0.000 7.398
-1.315 2.277 7.398
-1.315 -2.277 7.398
Sr S V
1 2 1
direct
0.500 0.500 0.500 Sr
0.899 0.899 0.899 S
0.101 0.101 0.101 S
0.000 0.000 0.000 V
```

energy above the lowest structure with this stoichiometry: 325 meV per atom
raw formation energy: -0.81 eV/atom
SG: No. 166


[3]
A plane-wave DFT calculation with PBE was carried out for PmDy2ErS6 after structural relaxation.

POSCAR file:
```
PmDy2ErS6
1.0
6.952 0.001 0.000
3.477 6.021 0.000
3.476 2.007 6.184
Pm Dy Er S
1 2 1 6
direct
0.812 0.812 0.565 Pm
0.518 0.518 0.446 Dy
0.015 0.015 0.955 Dy
0.317 0.316 0.050 Er
0.612 0.221 0.248 S
0.221 0.919 0.248 S
0.919 0.612 0.248 S
0.403 0.718 0.751 S
0.718 0.128 0.751 S
0.128 0.403 0.751 S
```

raw formation energy: -2.05 eV/atom
SG: No. 146


Number 1: DFT total energy -0.08388 Ha/atom. Number 2: DFT total energy -0.20476 Ha/atom. Number 3: DFT total energy -0.23444 Ha/atom.